[1]
# PBE-GGA K2CaMo, optimized geometry
# Energy relative to the lowest polymorph listed for this composition = 0.176 eV/atom
# Energy of formation from the pure elements = 4.5 eV per formula unit
data_K2CaMo
_space_group_name_H-M_alt 'F -4 3 m'
_space_group_IT_number 216
_space_group_name_Hall 'F -4 2 3'
_cell_length_a 8.619
_cell_length_b 8.619
_cell_length_c 8.619
_cell_angle_alpha 90.00
_cell_angle_beta 90.00
_cell_angle_gamma 90.00
loop_
_atom_site_label
_atom_site_type_symbol
_atom_site_fract_x
_atom_site_fract_y
_atom_site_fract_z
K1 K 0.000 0.000 0.000
K2 K 0.250 0.250 0.250
Ca1 Ca 0.250 0.250 0.750
Mo1 Mo 0.000 0.000 0.500



[2]
# PBE-GGA Pm2Pr12Tm5, optimized geometry
# Energy relative to the lowest polymorph listed for this composition = 0.030 eV/atom
# Energy of formation from the pure elements = 2.5 eV per formula unit
data_Pm2Pr12Tm5
_space_group_name_H-M_alt 'C 1 2/m 1'
_space_group_IT_number 12
_cell_length_a 15.478
_cell_length_b 10.553
_cell_length_c 8.148
_cell_angle_alpha 90.00
_cell_angle_beta 92.93
_cell_angle_gamma 90.00
loop_
_space_group_symop_operation_xyz
'x,y,z'
'-x,-y,-z'
'-x,y,-z'
'x,-y,z'
'x+1/2,y+1/2,z'
'-x+1/2,-y+1/2,-z'
'-x+1/2,y+1/2,-z'
'x+1/2,-y+1/2,z'
loop_
_atom_site_label
_atom_site_type_symbol
_atom_site_fract_x
_atom_site_fract_y
_atom_site_fract_z
Pm1 Pm 0.000 0.240 0.000
Pr1 Pr 0.054 0.000 0.715
Pr2 Pr 0.107 0.227 0.388
Pr3 Pr 0.140 0.500 0.116
Pr4 Pr 0.187 0.276 0.792
Tm1 Tm 0.000 0.500 0.500
Tm2 Tm 0.154 0.000 0.095
Tm3 Tm 0.243 0.500 0.490



[3]
# PBE-GGA La8Ga3SeBr4, optimized geometry
# Formation energy from raw total energies = -1.152 eV/atom
data_La8Ga3SeBr4
_space_group_name_H-M_alt 'R -3 m'
_space_group_IT_number 166
_space_group_name_Hall '-R 3 2"'
_cell_length_a 8.8951
_cell_length_b 8.8951
_cell_length_c 21.4347
_cell_angle_alpha 90.00
_cell_angle_beta 90.00
_cell_angle_gamma 120.00
loop_
_atom_site_label
_atom_site_type_symbol
_atom_site_fract_x
_atom_site_fract_y
_atom_site_fract_z
La1 La 0.0000 0.0000 0.2432
La2 La 0.0041 0.5020 0.7572
Ga1 Ga 0.0000 0.5000 0.5000
Se1 Se 0.0000 0.0000 0.5000
Br1 Br 0.0000 0.0000 0.0000
Br2 Br 0.0000 0.5000 0.0000



[4]
# PBE-GGA TlIn2Au2, optimized geometry
# Energy of formation from the pure elements = -0.7 eV per formula unit
data_TlIn2Au2
_space_group_name_H-M_alt 'P 1 21/m 1'
_space_group_IT_number 11
_cell_length_a 4.699
_cell_length_b 4.714
_cell_length_c 11.703
_cell_angle_alpha 90.00
_cell_angle_beta 97.13
_cell_angle_gamma 90.00
loop_
_space_group_symop_operation_xyz
'x,y,z'
'-x,-y,-z'
'-x,y+1/2,-z'
'x,-y+1/2,z'
loop_
_atom_site_label
_atom_site_type_symbol
_atom_site_fract_x
_atom_site_fract_y
_atom_site_fract_z
Tl1 Tl 0.221 0.250 0.263
In1 In 0.240 0.750 0.499
In2 In 0.347 0.250 0.882
Au1 Au 0.136 0.750 0.970
Au2 Au 0.306 0.250 0.643



[5]
# PBE-GGA CaTbBi, optimized geometry
# Energy of formation from the pure elements = -1.0 eV per formula unit
data_CaTbBi
_space_group_name_H-M_alt 'I m m m'
_space_group_IT_number 71
_space_group_name_Hall '-I 2 2'
_cell_length_a 3.540
_cell_length_b 6.124
_cell_length_c 18.390
_cell_angle_alpha 90.00
_cell_angle_beta 90.00
_cell_angle_gamma 90.00
loop_
_atom_site_label
_atom_site_type_symbol
_atom_site_fract_x
_atom_site_fract_y
_atom_site_fract_z
Ca1 Ca 0.000 0.000 0.169
Tb1 Tb 0.000 0.253 0.500
Bi1 Bi 0.000 0.000 0.346



[6]
# PBE-GGA RbNaTlBr3, optimized geometry
# Formation energy from raw total energies = -1.339 eV/atom
data_RbNaTlBr3
_space_group_name_H-M_alt 'P 1 21/m 1'
_space_group_IT_number 11
_cell_length_a 9.014
_cell_length_b 4.991
_cell_length_c 10.635
_cell_angle_alpha 90.00
_cell_angle_beta 108.62
_cell_angle_gamma 90.00
loop_
_space_group_symop_operation_xyz
'x,y,z'
'-x,-y,-z'
'-x,y+1/2,-z'
'x,-y+1/2,z'
loop_
_atom_site_label
_atom_site_type_symbol
_atom_site_fract_x
_atom_site_fract_y
_atom_site_fract_z
Rb1 Rb 0.216 0.250 0.242
Na1 Na 0.154 0.250 0.626
Tl1 Tl 0.329 0.750 0.888
Br1 Br 0.089 0.250 0.878
Br2 Br 0.191 0.750 0.507
Br3 Br 0.476 0.750 0.205



[7]
# PBE-GGA Nd2CoC, optimized geometry
# Energy relative to the lowest polymorph listed for this composition = 0.000 eV/atom
# Energy of formation from the pure elements = -0.6 eV per formula unit
data_Nd2CoC
_space_group_name_H-M_alt 'C 1 2/c 1'
_space_group_IT_number 15
_cell_length_a 14.213
_cell_length_b 3.648
_cell_length_c 7.422
_cell_angle_alpha 90.00
_cell_angle_beta 105.08
_cell_angle_gamma 90.00
loop_
_space_group_symop_operation_xyz
'x,y,z'
'-x,-y,-z'
'-x,y,-z+1/2'
'x,-y,z+1/2'
'x+1/2,y+1/2,z'
'-x+1/2,-y+1/2,-z'
'-x+1/2,y+1/2,-z+1/2'
'x+1/2,-y+1/2,z+1/2'
loop_
_atom_site_label
_atom_site_type_symbol
_atom_site_fract_x
_atom_site_fract_y
_atom_site_fract_z
Nd1 Nd 0.126 0.001 0.063
Co1 Co 0.000 0.499 0.750
C1 C 0.000 0.001 0.250



[8]
# PBE-GGA BaNa2TaS4, optimized geometry
# Formation energy from raw total energies = -1.229 eV/atom
data_BaNa2TaS4
_space_group_name_H-M_alt 'P m n 21'
_space_group_IT_number 31
_cell_length_a 10.813
_cell_length_b 6.286
_cell_length_c 6.291
_cell_angle_alpha 90.00
_cell_angle_beta 90.00
_cell_angle_gamma 90.00
loop_
_space_group_symop_operation_xyz
'x,y,z'
'-x+1/2,-y,z+1/2'
'-x,y,z'
'x+1/2,-y,z+1/2'
loop_
_atom_site_label
_atom_site_type_symbol
_atom_site_fract_x
_atom_site_fract_y
_atom_site_fract_z
Ba1 Ba 0.000 0.241 0.000
Na1 Na 0.250 0.240 0.499
Ta1 Ta 0.000 0.674 0.434
S1 S 0.000 0.306 0.501
S2 S 0.000 0.741 0.066
S3 S 0.202 0.775 0.535



[9]
# PBE-GGA SrInSi2, optimized geometry
# Formation energy from raw total energies = 0.069 eV/atom
data_SrInSi2
_space_group_name_H-M_alt 'C 1 2/m 1'
_space_group_IT_number 12
_cell_length_a 6.569
_cell_length_b 6.514
_cell_length_c 4.286
_cell_angle_alpha 90.00
_cell_angle_beta 90.21
_cell_angle_gamma 90.00
loop_
_space_group_symop_operation_xyz
'x,y,z'
'-x,-y,-z'
'-x,y,-z'
'x,-y,z'
'x+1/2,y+1/2,z'
'-x+1/2,-y+1/2,-z'
'-x+1/2,y+1/2,-z'
'x+1/2,-y+1/2,z'
loop_
_atom_site_label
_atom_site_type_symbol
_atom_site_fract_x
_atom_site_fract_y
_atom_site_fract_z
Sr1 Sr 0.000 0.000 0.000
In1 In 0.000 0.500 0.000
Si1 Si 0.250 0.250 0.500



[10]
# PBE-GGA Nd6HoCd, optimized geometry
# Energy relative to the lowest polymorph listed for this composition = 0.000 eV/atom
# Energy of formation from the pure elements = -0.4 eV per formula unit
data_Nd6HoCd
_space_group_name_H-M_alt 'P 4/m m m'
_space_group_IT_number 123
_space_group_name_Hall '-P 4 2'
_cell_length_a 5.037
_cell_length_b 5.037
_cell_length_c 10.273
_cell_angle_alpha 90.00
_cell_angle_beta 90.00
_cell_angle_gamma 90.00
loop_
_atom_site_label
_atom_site_type_symbol
_atom_site_fract_x
_atom_site_fract_y
_atom_site_fract_z
Nd1 Nd 0.000 0.000 0.000
Nd2 Nd 0.000 0.000 0.500
Nd3 Nd 0.000 0.500 0.245
Ho1 Ho 0.500 0.500 0.500
Cd1 Cd 0.500 0.500 0.000



[11]
# PBE-GGA Y4Er6Mg, optimized geometry
# Energy of formation from the pure elements = 3.2 eV per formula unit
data_Y4Er6Mg
_space_group_name_H-M_alt 'I -4 2 m'
_space_group_IT_number 121
_space_group_name_Hall 'I -4 2'
_cell_length_a 6.478
_cell_length_b 6.478
_cell_length_c 16.902
_cell_angle_alpha 90.00
_cell_angle_beta 90.00
_cell_angle_gamma 90.00
loop_
_atom_site_label
_atom_site_type_symbol
_atom_site_fract_x
_atom_site_fract_y
_atom_site_fract_z
Y1 Y 0.176 0.176 0.364
Er1 Er 0.000 0.500 0.000
Er2 Er 0.182 0.182 0.166
Mg1 Mg 0.000 0.000 0.000



[12]
# PBE-GGA ErHf4Ru5, optimized geometry
# Energy of formation from the pure elements = -7.6 eV per formula unit
data_ErHf4Ru5
_space_group_name_H-M_alt 'P 4/m m m'
_space_group_IT_number 123
_space_group_name_Hall '-P 4 2'
_cell_length_a 3.259
_cell_length_b 3.259
_cell_length_c 16.455
_cell_angle_alpha 90.00
_cell_angle_beta 90.00
_cell_angle_gamma 90.00
loop_
_atom_site_label
_atom_site_type_symbol
_atom_site_fract_x
_atom_site_fract_y
_atom_site_fract_z
Er1 Er 0.000 0.000 0.000
Hf1 Hf 0.000 0.000 0.202
Hf2 Hf 0.000 0.000 0.401
Ru1 Ru 0.500 0.500 0.111
Ru2 Ru 0.500 0.500 0.305
Ru3 Ru 0.500 0.500 0.500



[13]
# PBE-GGA K3La2PdO6, optimized geometry
# Formation energy from raw total energies = -1.960 eV/atom
data_K3La2PdO6
_space_group_name_H-M_alt 'C 1 2/m 1'
_space_group_IT_number 12
_cell_length_a 6.146
_cell_length_b 10.757
_cell_length_c 6.569
_cell_angle_alpha 90.00
_cell_angle_beta 107.42
_cell_angle_gamma 90.00
loop_
_space_group_symop_operation_xyz
'x,y,z'
'-x,-y,-z'
'-x,y,-z'
'x,-y,z'
'x+1/2,y+1/2,z'
'-x+1/2,-y+1/2,-z'
'-x+1/2,y+1/2,-z'
'x+1/2,-y+1/2,z'
loop_
_atom_site_label
_atom_site_type_symbol
_atom_site_fract_x
_atom_site_fract_y
_atom_site_fract_z
K1 K 0.000 0.000 0.000
K2 K 0.000 0.343 0.000
La1 La 0.000 0.169 0.500
Pd1 Pd 0.000 0.500 0.500
O1 O 0.231 0.337 0.702
O2 O 0.237 0.500 0.323



[14]
# PBE-GGA AcSm2Ga, optimized geometry
# Energy relative to the lowest polymorph listed for this composition = 0.000 eV/atom
# Energy of formation from the pure elements = -1.0 eV per formula unit
data_AcSm2Ga
_space_group_name_H-M_alt 'P 4/m m m'
_space_group_IT_number 123
_space_group_name_Hall '-P 4 2'
_cell_length_a 3.676
_cell_length_b 3.676
_cell_length_c 9.280
_cell_angle_alpha 90.00
_cell_angle_beta 90.00
_cell_angle_gamma 90.00
loop_
_atom_site_label
_atom_site_type_symbol
_atom_site_fract_x
_atom_site_fract_y
_atom_site_fract_z
Ac1 Ac 0.000 0.000 0.000
Sm1 Sm 0.500 0.500 0.302
Ga1 Ga 0.000 0.000 0.500



no.,final energy (eV/atom)
1,-2.636
2,-4.566
3,-4.819
4,-3.019
5,-3.827
6,-2.951
7,-6.627
8,-5.344
9,-3.747
10,-4.306
11,-4.695
12,-9.837
13,-5.967
14,-4.386